Record 1
This record from Alexandria via LeMat-Bulk describes a PBEsol-optimized structure of Li2NdAl. The functional is meta-GGA SCAN.

Calculated volume   78.2 Å³/cell
Crystal system   cubic
ΔH_f (0 K)   -20.2 kJ per mole of atoms
Space group   No. 225

Structure (POSCAR):
```
Li2NdAl
1.0
4.801 0.000 0.000
2.400 4.158 0.000
2.400 1.386 3.920
Li Nd Al
2 1 1
Direct
0.250 0.250 0.250
0.750 0.750 0.750
0.000 0.000 0.000
0.500 0.500 0.500
```



Record 2
This record from Alexandria via LeMat-Bulk describes a PBEsol-optimized structure of EuCdAu5. The functional is meta-GGA SCAN.

Calculated volume   136.8 Å³/cell
Crystal system   tetragonal
ΔH_f (0 K)   -50.3 kJ per mole of atoms
Space group   No. 119

Structure (POSCAR):
```
EuCdAu5
1.0
-1.018 4.522 -2.806
0.871 -0.058 -5.641
-5.247 0.750 -2.119
Cd Eu Au
1 1 5
Direct
0.250 0.500 0.500
0.000 0.000 0.000
0.750 0.500 0.500
0.305 0.390 0.000
0.305 0.000 0.390
0.695 0.610 0.000
0.695 0.000 0.610
```



Record 3
This record from Alexandria via LeMat-Bulk describes a PBEsol-optimized structure of LiY3Cd. The functional is meta-GGA SCAN.

Calculated volume   140.6 Å³/cell
Crystal system   cubic
ΔH_f (0 K)   39.4 kJ per mole of atoms
Space group   No. 221

Structure (POSCAR):
```
LiY3Cd
1.0
5.200 0.000 0.000
0.000 5.200 0.000
0.000 0.000 5.200
Y Cd Li
3 1 1
Direct
0.500 0.000 0.000
0.000 0.500 0.000
0.000 0.000 0.500
0.500 0.500 0.500
0.000 0.000 0.000
```



Record 4
This record from Alexandria via LeMat-Bulk describes a PBEsol-optimized structure of BiRuCl2. The functional is meta-GGA SCAN.

Calculated volume   174.7 Å³/cell
Crystal system   tetragonal
Space group   No. 122
ΔE to the lowest computed polymorph   0 meV per atom

Structure (POSCAR):
```
BiRuCl2
1.0
8.104 0.000 0.000
-4.052 4.492 1.821
0.000 4.607 6.666
Cl Ru Bi
4 2 2
Direct
0.875 0.250 0.511
0.239 0.750 0.875
0.375 0.250 0.239
0.511 0.750 0.375
0.250 0.500 0.250
0.500 0.000 0.500
0.750 0.500 0.750
0.000 0.000 0.000
```



Record 5
This record from Alexandria via LeMat-Bulk describes a PBEsol-optimized structure of CdCuOs. The functional is meta-GGA SCAN.

Calculated volume   44.2 Å³/cell
Crystal system   tetragonal
ΔH_f (0 K)   49.7 kJ per mole of atoms
Space group   No. 107
ΔE to the lowest computed polymorph   84 meV per atom

Structure (POSCAR):
```
CdCuOs
1.0
2.719 0.000 0.000
0.000 2.719 0.000
-1.360 -1.360 5.982
Cu Cd Os
1 1 1
Direct
0.674 0.674 0.348
0.004 0.004 0.008
0.322 0.322 0.643
```



Record 6
This record from Alexandria via LeMat-Bulk describes a PBEsol-optimized structure of Mg3FeSb. The functional is meta-GGA SCAN.

Calculated volume   115.0 Å³/cell
Total DFT energy (no corrections)   -68.09 eV/cell
Crystal system   cubic
Space group   No. 221

Structure (POSCAR):
```
Mg3FeSb
1.0
4.863 0.000 0.000
0.000 4.863 0.000
0.000 0.000 4.863
Mg Fe Sb
3 1 1
Direct
0.000 0.000 0.500
0.500 0.000 0.000
0.000 0.500 0.000
0.000 0.000 0.000
0.500 0.500 0.500
```